DFT (SCAN) results for a crystal of LiCrIN2 relaxed with PBEsol.

Values from the calculation:
- Uncorrected formation energy: 1.30 eV per atom
- Theoretical density: 4.55 g/cm3
- Calculated total energy: -13.9185 eV per atom

Unit cell a=3.9631 b=3.9631 c=4.9727 alpha=90.00 beta=90.00 gamma=90.00
Last column: nearest neighbours and their distance in Å.
Space group P4/mmm (No. 123)
One atom of each set of equivalent atoms:
Li 0.0000 0.0000 0.0000  4 N 1.98
Cr 0.5000 0.5000 0.5000  4 I 2.80
I 0.0000 0.0000 0.5000  2 Li 2.49
N 0.0000 0.5000 0.0000  2 Li 1.98

=====

DFT (SCAN) results for a crystal of KH3O2 relaxed with PBEsol.

Values from the calculation:
- Theoretical density: 2.04 g/cm3
- Calculated total energy: -6.5097 eV per atom

Unit cell a=5.8235 b=5.5806 c=7.9055 alpha=90.00 beta=109.75 gamma=90.00
Last column: nearest neighbours and their distance in Å.
Space group P2_1/c (No. 14)
One atom of each set of equivalent atoms:
K 0.1898 0.2461 0.4217  10 H 2.75-3.02, 6 O 2.76-2.84
H 0.2797 0.7129 0.5469  1 O 1.05
H 0.2796 0.7181 0.8443  1 O 1.04
H 0.4878 0.0076 0.2471  1 O 0.99
O 0.1624 0.7456 0.4161  2 H 1.04-1.05
O 0.4486 0.6657 0.7379  1 H 0.99

=====

DFT (SCAN) results for a crystal of NbCrSCl2 relaxed with PBEsol.

Values from the calculation:
- Energy above the most stable polymorph in this dataset: 166 meV per atom
- Uncorrected formation energy: -0.24 eV per atom
- Theoretical density: 4.13 g/cm3
- Calculated total energy: -15.6572 eV per atom

Unit cell a=4.5636 b=4.5636 c=4.7843 alpha=90.00 beta=90.00 gamma=90.00
Last column: nearest neighbours and their distance in Å.
Space group P4/mmm (No. 123)
One atom of each set of equivalent atoms:
Nb 0.0000 0.0000 0.0000  4 S 3.23, 8 Cl 3.31
Cr 0.5000 0.5000 0.5000  4 Cl 2.28, 2 S 2.39
S 0.5000 0.5000 0.0000  2 Cr 2.39
Cl 0.0000 0.5000 0.5000  2 Cr 2.28